## SrAcCdGe (PBE)

Data for a relaxed SrAcCdGe crystal.

a = 4.647 Å, b = 4.576 Å, c = 6.583 Å
α = 90.00°, β = 110.67°, γ = 90.00°
Positions (direct):
Sr  0.140  0.000  0.280
Ac  0.864  0.500  0.728
Cd  0.574  0.500  0.147
Ge  0.422  0.000  0.844

Energy (eV per cell): -13.26
Total moment (μB per cell): 0.0
Distance to the lowest polymorph of the same formula (kJ per mole of atoms): 0.0
DFT formation energy (meV/atom): -485

## RbNaV2Rh (PBE)

Data for a relaxed RbNaV2Rh crystal.

a = 5.091 Å, b = 5.267 Å, c = 5.091 Å
α = 90.00°, β = 90.00°, γ = 90.00°
Positions (direct):
Na  0.000  0.000  0.000
Rb  0.000  0.500  0.000
V  0.000  0.000  0.500
Rh  0.500  0.500  0.500
V  0.500  0.000  0.000

Energy (eV per cell): -17.32
Total moment (μB per cell): 7.1
DFT formation energy (meV/atom): 2111